Na2LaTa PBE optimized geometry; density of states at the Fermi level = 1.265 states/eV/atom; spin magnetization = 0.0 μB per formula unit; space group = No. 225; energy of formation = 106.4 kJ/mol of atoms
1.0
0.0000 3.7633 3.7633
3.7633 0.0000 3.7633
3.7633 3.7633 0.0000
La Ta Na
1 1 2
direct
0.0000 0.0000 0.0000 La
0.5000 0.5000 0.5000 Ta
0.2500 0.2500 0.2500 Na
0.7500 0.7500 0.7500 Na